The following is a PBE calculation of an optimized crystal structure of BeSeOF2, from Alexandria via LeMat-Bulk.

Lattice parameters (Å, degrees): 3.1873 3.1873 6.5586 90.00 90.00 90.00
Fractional coordinates of all 5 atoms:
F 0.0000 0.5000 0.0000
F 0.5000 0.0000 0.0000
Se 0.5000 0.5000 0.5000
O 0.0000 0.0000 0.5000
Be 0.0000 0.0000 0.0000

## Properties
Crystal system: tetragonal
E in eV per atom: -4.6816
Formation energy from raw total energies in eV/atom: -1.4993
Offset from the most stable computed form in meV/atom: 0